# NbTe2OsN (PBE, relaxed)
data_NbTe2OsN
_chemical_formula_sum 'Nb1 Te2 Os1 N1'
_cell_length_a 5.411
_cell_length_b 5.411
_cell_length_c 3.669
_cell_angle_alpha 90.00
_cell_angle_beta 90.00
_cell_angle_gamma 90.00
_space_group_name_H-M_alt 'P 4/m m m'
_space_group_IT_number 123
_space_group_name_Hall '-P 4 2'
loop_
_atom_site_label
_atom_site_fract_x
_atom_site_fract_y
_atom_site_fract_z
Nb1 0.000 0.000 0.000
Te1 0.000 0.500 0.500
Os1 0.500 0.500 0.500
N1 0.500 0.500 0.000
# Formation energy without anion corrections   585 meV/atom
# Excess energy over the best structure of this formula in the dataset   0 meV/atom

# NbTeOsN2 (PBE, relaxed)
data_NbTeOsN2
_chemical_formula_sum 'Nb1 Te1 Os1 N2'
_cell_length_a 3.980
_cell_length_b 3.980
_cell_length_c 5.964
_cell_angle_alpha 90.00
_cell_angle_beta 90.00
_cell_angle_gamma 90.00
_space_group_name_H-M_alt 'P 4/m m m'
_space_group_IT_number 123
_space_group_name_Hall '-P 4 2'
loop_
_atom_site_label
_atom_site_fract_x
_atom_site_fract_y
_atom_site_fract_z
Nb1 0.000 0.000 0.000
Te1 0.000 0.000 0.500
Os1 0.500 0.500 0.500
N1 0.000 0.500 0.000
# Formation energy without anion corrections   1172 meV/atom
# Excess energy over the best structure of this formula in the dataset   191 meV/atom

# NbTlOs2N (PBE, relaxed)
data_NbTlOs2N
_chemical_formula_sum 'Nb1 Tl1 Os2 N1'
_cell_length_a 4.981
_cell_length_b 4.981
_cell_length_c 5.246
_cell_angle_alpha 90.00
_cell_angle_beta 90.00
_cell_angle_gamma 90.00
_space_group_name_H-M_alt 'P 4/m m m'
_space_group_IT_number 123
_space_group_name_Hall '-P 4 2'
loop_
_atom_site_label
_atom_site_fract_x
_atom_site_fract_y
_atom_site_fract_z
Nb1 0.000 0.000 0.000
Tl1 0.000 0.000 0.500
Os1 0.000 0.500 0.500
N1 0.500 0.500 0.000
# Formation energy without anion corrections   3953 meV/atom

# Nb2VOsN (PBE, relaxed)
data_Nb2VOsN
_chemical_formula_sum 'Nb2 V1 Os1 N1'
_cell_length_a 4.317
_cell_length_b 4.317
_cell_length_c 3.791
_cell_angle_alpha 90.00
_cell_angle_beta 90.00
_cell_angle_gamma 90.00
_space_group_name_H-M_alt 'P 4/m m m'
_space_group_IT_number 123
_space_group_name_Hall '-P 4 2'
loop_
_atom_site_label
_atom_site_fract_x
_atom_site_fract_y
_atom_site_fract_z
Nb1 0.000 0.500 0.000
V1 0.000 0.000 0.500
Os1 0.500 0.500 0.500
N1 0.000 0.000 0.000
# Formation energy without anion corrections   -475 meV/atom